# AcI3N

Crystalline AcI3N at its relaxed geometry (PBE, Alexandria).

As for the uncorrected formation energy: -0.105 eV per atom.

It has space group C2/m (No. 12), with a = 11.368 Å, b = 8.311 Å, c = 10.409 Å, α = 90.00°, β = 97.86° and γ = 90.00°. The inequivalent atoms are Ac at (0.000, 0.250, 0.000), I at (0.038, 0.000, 0.764), I at (0.098, 0.500, 0.236), I at (0.238, 0.500, 0.902) and N at (0.192, 0.500, 0.567).